# 1
Compound: Li3YIn3
Source: the Alexandria database
Functional: PBE-GGA
Structure: optimized geometry

Calculated values
The raw total energy comes out at -18.9 eV/f.u. As for the space group: Pm-3n (223).

a b c (Å): 7.0619 7.0619 7.0619
angles (deg): 90.00 90.00 90.00
With the nearest neighbours (Å) after each atom.
Element x y z (fractional)
Li: 0.0000 0.7500 0.5000  4 In 2.50
Li: 0.7500 0.5000 0.0000  4 In 2.50
Li: 0.2500 0.5000 0.0000  4 In 2.50
Li: 0.0000 0.2500 0.5000  4 In 2.50
Li: 0.5000 0.0000 0.7500  4 In 2.50
Li: 0.5000 0.0000 0.2500  4 In 2.50
In: 0.5000 0.2500 0.0000  4 Li 2.50
In: 0.2500 0.0000 0.5000  4 Li 2.50
In: 0.5000 0.7500 0.0000  4 Li 2.50
In: 0.7500 0.0000 0.5000  4 Li 2.50
In: 0.0000 0.5000 0.2500  4 Li 2.50
In: 0.0000 0.5000 0.7500  4 Li 2.50
Y: 0.0000 0.0000 0.0000  12 In 3.95, 12 Li 3.95
Y: 0.5000 0.5000 0.5000  12 In 3.95, 12 Li 3.95

***

# 2
Compound: Li2Y3In4
Source: the Alexandria database
Functional: PBE-GGA
Structure: optimized geometry

Calculated values
The raw total energy comes out at -38.0 eV/f.u. As for the space group: C2/m (12).

a b c (Å): 4.8860 6.0019 9.2842
angles (deg): 115.49 90.00 114.02
With the nearest neighbours (Å) after each atom.
Element x y z (fractional)
Li: 0.6101 0.2201 0.2814  3 In 2.77-2.78
Li: 0.3899 0.7799 0.7186  3 In 2.77-2.78
In: 0.0504 0.1008 0.3764  2 Li 2.78, 1 In 2.98
In: 0.2679 0.5357 0.9206  1 Li 2.77, 2 In 2.97
In: 0.9496 0.8992 0.6236  2 Li 2.78, 1 In 2.98
In: 0.7321 0.4643 0.0794  1 Li 2.77, 2 In 2.97
Y: 0.3342 0.6684 0.3408  8 In 3.25-3.62, 4 Li 3.26-3.32, 2 Y 3.44-3.54
Y: 0.0000 0.0000 0.0000  8 In 3.27-3.35, 4 Li 3.36, 2 Y 3.54
Y: 0.6658 0.3316 0.6592  8 In 3.25-3.62, 4 Li 3.26-3.32, 2 Y 3.44-3.54